[1]
Al2Te: relaxed, PBE.

Geometry as POSCAR:
```
Al2Te
1.0
8.116 0.000 0.000
-4.058 7.028 0.000
0.000 0.000 3.723
Al Te
6 3
direct
0.000 0.283 0.000
0.000 0.588 0.500
0.283 0.000 0.000
0.412 0.412 0.500
0.588 0.000 0.500
0.717 0.717 0.000
0.000 0.000 0.500
0.333 0.667 0.000
0.667 0.333 0.000
```

**E_form (uncorrected)**: 0.29 eV/atom
**Energy**: -3.248 eV per atom
**SG**: P-62m, No. 189
**Calculated density**: 4.259 g/cm³


[2]
AlTe: relaxed, PBE.

Geometry as POSCAR:
```
AlTe
1.0
7.968 0.000 0.000
0.000 7.968 0.000
0.000 0.000 7.968
Al Te
6 6
direct
0.000 0.250 0.500
0.000 0.750 0.500
0.250 0.500 0.000
0.500 0.000 0.250
0.500 0.000 0.750
0.750 0.500 0.000
0.000 0.500 0.250
0.000 0.500 0.750
0.250 0.000 0.500
0.500 0.250 0.000
0.500 0.750 0.000
0.750 0.000 0.500
```

**E_form (uncorrected)**: 0.12 eV/atom
**Energy**: -3.322 eV per atom
**SG**: Pm-3n, No. 223
**Calculated density**: 3.044 g/cm³


[3]
AlTe2: relaxed, PBE.

Geometry as POSCAR:
```
AlTe2
1.0
5.296 0.000 0.000
0.000 5.296 0.000
0.000 0.000 3.138
Al Te
1 2
direct
0.000 0.000 0.000
0.000 0.500 0.500
0.500 0.000 0.500
```

**E_form (uncorrected)**: 0.18 eV/atom
**Energy**: -3.158 eV per atom
**SG**: P4/mmm, No. 123
**Calculated density**: 5.324 g/cm³


[4]
AlTe2: relaxed, PBE.

Geometry as POSCAR:
```
AlTe2
1.0
6.157 -3.655 0.000
6.157 3.655 0.000
0.000 0.000 3.992
Al Te
2 4
direct
0.165 0.835 0.750
0.835 0.165 0.250
0.109 0.606 0.250
0.394 0.891 0.250
0.606 0.109 0.750
0.891 0.394 0.750
```

**E_form (uncorrected)**: 0.00 eV/atom
**Energy**: -3.344 eV per atom
**SG**: Cmcm, No. 63
**Calculated density**: 5.215 g/cm³


[5]
AlTe: relaxed, PBE.

Geometry as POSCAR:
```
AlTe
1.0
1.986 1.146 8.478
-1.986 1.146 8.478
0.000 -2.293 8.478
Al Te
2 2
direct
0.126 0.126 0.126
0.874 0.874 0.874
0.403 0.403 0.403
0.597 0.597 0.597
```

**E_form (uncorrected)**: -0.18 eV/atom
**Energy**: -3.625 eV per atom
**SG**: R-3m, No. 166
**Calculated density**: 4.433 g/cm³


[6]
Al2Te: relaxed, PBE.

Geometry as POSCAR:
```
Al2Te
1.0
-2.740 2.740 4.598
2.740 -2.740 4.598
2.740 2.740 -4.598
Al Te
4 2
direct
0.182 0.682 0.864
0.318 0.182 0.500
0.682 0.818 0.500
0.818 0.318 0.136
0.250 0.250 0.000
0.750 0.750 0.000
```

**E_form (uncorrected)**: 0.04 eV/atom
**Energy**: -3.505 eV per atom
**SG**: I4/mcm, No. 140
**Calculated density**: 4.365 g/cm³


[7]
Al2Te: relaxed, PBE.

Geometry as POSCAR:
```
Al2Te
1.0
5.868 -1.898 0.000
5.868 1.898 0.000
-1.823 0.000 6.454
Al Te
4 2
direct
0.161 0.161 0.493
0.274 0.274 0.167
0.726 0.726 0.833
0.839 0.839 0.507
0.482 0.482 0.754
0.518 0.518 0.246
```

**E_form (uncorrected)**: 0.09 eV/atom
**Energy**: -3.449 eV per atom
**SG**: C2/m, No. 12
**Calculated density**: 4.195 g/cm³


[8]
AlTe: relaxed, PBE.

Geometry as POSCAR:
```
AlTe
1.0
2.479 1.432 5.564
-2.479 1.432 5.564
0.000 -2.863 5.564
Al Te
2 2
direct
0.078 0.078 0.078
0.922 0.922 0.922
0.243 0.243 0.243
0.757 0.757 0.757
```

**E_form (uncorrected)**: -0.18 eV/atom
**Energy**: -3.619 eV per atom
**SG**: R-3m, No. 166
**Calculated density**: 4.333 g/cm³